Compound: Ba2H3O4
Source: Alexandria via LeMat-Bulk
Functional: PBE
Structure: optimized geometry

extended XYZ file:
```
18
Lattice="4.040 -4.918 0.000 4.040 4.918 0.000 -1.495 0.000 6.976" Properties=species:S:1:pos:R:3 pbc="T T T"
Ba 1.558 1.541 1.445
Ba 0.811 -1.541 4.933
Ba 5.774 1.541 2.042
Ba 5.026 -1.541 5.530
H 3.666 3.897 1.744
H 2.575 0.820 6.393
H 3.262 0.820 4.071
H 3.322 -0.820 2.905
H 4.010 -0.820 0.583
H 2.918 -3.897 5.232
O -0.083 0.795 5.767
O 0.665 -0.795 2.279
O 3.271 1.626 3.523
O 2.565 1.626 6.940
O 4.019 -1.626 0.035
O 3.313 -1.626 3.452
O 5.919 0.795 4.697
O 6.667 -0.795 1.209
```

Output
* M_tot: 1.0 μB per formula unit
* calculated total energy: -5.34 eV/atom